La4AsSe | PBE | optimized geometry

Summary:
formation energy (no corrections)	-4.0	kcal/mol of atoms
SG	F-43m
size of the total moment	0.000	μB/f.u.
DOS at the Fermi energy	0.97	states/eV/atom

abc: 6.316 6.316 6.316
angles: 60.00 60.00 60.00
Atoms (fractional coordinates):
La (0.877, 0.374, 0.374)
La (0.374, 0.374, 0.877)
La (0.374, 0.877, 0.374)
La (0.374, 0.374, 0.374)
As (0.000, 0.000, 0.000)
Se (0.750, 0.750, 0.750)